HgPbSe2 | PBE | optimized geometry Values from VASP.

```
&SYSTEM
  ibrav = 0, nat = 4, ntyp = 3
/
ATOMIC_SPECIES
Hg 200.59 Hg.upf
Pb 207.20 Pb.upf
Se 78.96 Se.upf
CELL_PARAMETERS angstrom
-2.3216 5.7226 0.2633
-5.5471 0.9523 2.5554
5.2224 -3.0008 1.3890
ATOMIC_POSITIONS angstrom
Hg -0.5168 3.0297 1.5309
Pb -2.1296 0.6445 2.6769
Se -7.8546 6.6629 2.8136
Se -3.9485 3.3495 1.4144
```

## Properties
final energy	-10.624	eV per cell
ΔE_f (raw)	0.09	eV per atom
SG	No. 71
mass density	9.2	g/cm3

Tm6Tl2Tc | PBE | optimized geometry Values from VASP.

```
&SYSTEM
  ibrav = 0, nat = 9, ntyp = 3
/
ATOMIC_SPECIES
Tm 168.93 Tm.upf
Tl 204.38 Tl.upf
Tc 98.00 Tc.upf
CELL_PARAMETERS angstrom
3.8926 0.0000 0.0000
0.0000 8.4569 0.0000
0.0000 -4.2284 7.3235
ATOMIC_POSITIONS angstrom
Tm 1.9463 5.2104 0.0000
Tm 1.9463 1.6225 2.8104
Tm 1.9463 5.8509 4.5131
Tm 0.0000 2.0404 0.0000
Tm 0.0000 3.2086 5.5583
Tm 0.0000 7.4370 1.7652
Tl 0.0000 -0.0001 4.8814
Tl 0.0000 4.2284 2.4421
Tc 1.9463 0.0013 0.0000
```

## Properties
energy of formation	-0.247	eV/atom
final energy	-44.149	eV per cell
SG	No. 189
mass density	10.5	g/cm3

KCu6As4 | PBE | optimized geometry Values from VASP.

```
&SYSTEM
  ibrav = 0, nat = 11, ntyp = 3
/
ATOMIC_SPECIES
K 39.10 K.upf
Cu 63.55 Cu.upf
As 74.92 As.upf
CELL_PARAMETERS angstrom
-2.9454 2.1122 -1.8119
1.0441 -1.6068 -3.5705
-6.9011 -9.5731 4.5897
ATOMIC_POSITIONS angstrom
K 0.0000 0.0000 0.0000
Cu -5.3986 -3.6041 0.0433
Cu -7.2470 -5.7982 0.4902
Cu -1.5555 -3.2695 -1.2829
Cu -3.5502 -1.4100 -0.4036
Cu -5.2522 -7.6577 -0.3891
Cu -3.4038 -5.4636 -0.8360
As -6.6116 -7.8484 1.5986
As -3.0249 -3.5908 0.7314
As -5.7775 -5.4770 -1.5241
As -2.1908 -1.2194 -2.3913
```

## Properties
energy of formation	-0.064	eV/atom
final energy	-44.973	eV per cell
SG	No. 139
mass density	5.9	g/cm3

Ac2SbAu7 | PBE | optimized geometry Values from VASP.

```
&SYSTEM
  ibrav = 0, nat = 10, ntyp = 3
/
ATOMIC_SPECIES
Ac 227.00 Ac.upf
Sb 121.76 Sb.upf
Au 196.97 Au.upf
CELL_PARAMETERS angstrom
-3.3664 2.5578 -1.0539
-2.5831 -2.3122 2.6395
2.9014 7.8056 9.6769
ATOMIC_POSITIONS angstrom
Ac 0.4676 7.0652 6.6465
Ac -0.5409 0.8633 3.8233
Sb -2.9748 0.1228 0.7928
Au 1.1831 5.5014 9.5733
Au -0.6419 4.0802 2.9459
Au -1.2564 2.4271 0.8965
Au 0.5686 3.8483 7.5239
Au 1.4507 3.9028 4.8385
Au 0.0000 0.0000 0.0000
Au -1.5240 4.0257 5.6313
```

## Properties
final energy	-40.729	eV per cell
ΔE_f (raw)	-0.54	eV per atom
SG	No. 115
mass density	13.4	g/cm3